(1)
Compound: ZrPPb2
Source: Alexandria
Functional: PBE
Structure: optimized geometry

Cell: 9.7492 9.7492 7.3395 Å, 48.38 48.38 90.00°
Last column: nearest neighbours and their distance in Å.
Positions (direct):
Pb 0.3750 0.4951 0.7500  2 P 2.82
Pb 0.2451 0.6250 0.2500  2 P 2.82
Pb 0.5049 0.1250 0.2500  2 P 2.82
Pb 0.8750 0.7549 0.7500  2 P 2.82
P 0.2500 0.7500 0.5000  2 Zr 2.52, 4 Pb 2.82
P 0.5000 0.5000 0.0000  2 Zr 2.52, 4 Pb 2.82
Zr 0.7500 0.2500 0.5000  2 P 2.52
Zr 0.0000 0.0000 0.0000  2 P 2.52

Values from the calculation:
As for the space-group type: I-42d. Its total DFT energy (no corrections) is -41.2 eV/cell. The volume comes out at 29.93 Å³ per atom. As for the density of states at the Fermi level: 3.901 states/eV per cell. The value obtained for the energy of formation from the pure elements is 0.196 eV per atom.


(2)
Compound: ZrPPb2
Source: Alexandria
Functional: PBE
Structure: optimized geometry

Cell: 6.2572 6.2572 6.2572 Å, 147.36 131.29 59.87°
Last column: nearest neighbours and their distance in Å.
Positions (direct):
P 0.2855 0.7855 0.5000  2 Zr 2.55
Pb 0.0208 0.0208 0.0000  4 Zr 3.20, 2 P 3.37, 6 Pb 3.49-3.54
Pb 0.7377 0.2377 0.5000  4 P 3.17, 6 Pb 3.49-3.54, 4 Zr 3.50-3.52
Zr 0.4560 0.4560 0.0000  2 P 2.55

Values from the calculation:
As for the space-group type: Imm2. Its total DFT energy (no corrections) is -21.9 eV/cell. The volume comes out at 24.60 Å³ per atom. As for the density of states at the Fermi level: 1.809 states/eV per cell. The value obtained for the energy of formation from the pure elements is -0.124 eV per atom.


(3)
Compound: Zr2PPb
Source: Alexandria
Functional: PBE
Structure: optimized geometry

Cell: 5.5607 5.5607 4.9911 Å, 90.00 90.00 143.10°
Last column: nearest neighbours and their distance in Å.
Positions (direct):
Zr 0.9391 0.0609 0.0000  2 P 2.68
Zr 0.2651 0.7349 0.5000  2 P 2.50
Pb 0.5371 0.4629 0.5000  3 Zr 2.87-2.98
P 0.2480 0.7520 0.0000  4 Zr 2.50-2.68

Values from the calculation:
As for the space-group type: Amm2. Its total DFT energy (no corrections) is -28.0 eV/cell. For the relative energy among the computed polymorphs, the calculation gives 1.59 eV per formula unit. The volume comes out at 23.16 Å³ per atom. As for the density of states at the Fermi level: 2.315 states/eV per cell. The value obtained for the energy of formation from the pure elements is -0.435 eV per atom.


(4)
Compound: Zr2PPb
Source: Alexandria
Functional: PBE
Structure: optimized geometry

Cell: 5.7369 5.7369 5.7369 Å, 137.82 137.82 61.19°
Last column: nearest neighbours and their distance in Å.
Positions (direct):
Zr 0.0000 0.0000 0.0000  4 P 2.92, 4 Zr 3.22, 4 Pb 3.22
Zr 0.2500 0.7500 0.5000  4 Pb 2.92, 4 P 3.22, 4 Zr 3.22
Pb 0.7500 0.2500 0.5000  8 Zr 2.92-3.22, 4 P 3.22
P 0.5000 0.5000 0.0000  8 Zr 2.92-3.22, 4 Pb 3.22

Values from the calculation:
As for the space-group type: I-4m2. Its total DFT energy (no corrections) is -27.1 eV/cell. For the relative energy among the computed polymorphs, the calculation gives 2.40 eV per formula unit. The volume comes out at 21.05 Å³ per atom. As for the density of states at the Fermi level: 3.605 states/eV per cell. The value obtained for the energy of formation from the pure elements is -0.233 eV per atom.


(5)
Compound: ZrPPb2
Source: Alexandria
Functional: PBE
Structure: optimized geometry

Cell: 5.9639 5.9639 5.9639 Å, 137.61 137.61 61.50°
Last column: nearest neighbours and their distance in Å.
Positions (direct):
Zr 0.5000 0.5000 0.0000  8 Pb 3.05-3.35, 4 P 3.35
Pb 0.0000 0.0000 0.0000  4 Zr 3.05, 4 Pb 3.35, 4 P 3.35
Pb 0.2500 0.7500 0.5000  4 P 3.05, 4 Zr 3.35, 4 Pb 3.35
P 0.7500 0.2500 0.5000  8 Pb 3.05-3.35, 4 Zr 3.35

Values from the calculation:
As for the space-group type: I-4m2. Its total DFT energy (no corrections) is -20.9 eV/cell. The volume comes out at 23.83 Å³ per atom. As for the density of states at the Fermi level: 1.992 states/eV per cell. The value obtained for the energy of formation from the pure elements is 0.113 eV per atom.


(6)
Compound: ZrPPb2
Source: Alexandria
Functional: PBE
Structure: optimized geometry

Cell: 3.3684 3.3684 8.8945 Å, 90.00 90.00 107.93°
Last column: nearest neighbours and their distance in Å.
Positions (direct):
P 0.5000 0.5000 0.0000  4 Pb 2.88
Pb 0.0000 0.0000 0.7655  2 P 2.88, 2 Zr 3.08
Pb 0.0000 0.0000 0.2345  2 P 2.88, 2 Zr 3.08
Zr 0.5000 0.5000 0.5000  4 Pb 3.08, 4 Zr 3.37

Values from the calculation:
As for the space-group type: Cmmm. Its total DFT energy (no corrections) is -20.1 eV/cell. The volume comes out at 24.01 Å³ per atom. As for the density of states at the Fermi level: 2.370 states/eV per cell. The value obtained for the energy of formation from the pure elements is 0.320 eV per atom.


Number 1: density 7443 kg/m³, total moment 0.000 μB/f.u.. Number 2: density 9055 kg/m³, total moment 0.000 μB/f.u.. Number 3: density 7538 kg/m³, total moment 0.000 μB/f.u.. Number 4: density 8295 kg/m³, total moment 0.000 μB/f.u.. Number 5: density 9349 kg/m³, total moment 0.000 μB/f.u.. Number 6: density 9280 kg/m³, total moment 0.000 μB/f.u..